## one
# CaNdCoO4

A relaxed structure of CaNdCoO4 (PBE with a Hubbard U, Alexandria via LeMat-Bulk).

## Properties
V = 87.0 Å³/cell
space-group type = I4mm

Lattice parameters (Å, degrees): 6.659 6.659 6.659 147.05 147.05 47.29
Each line ends with the local moment (μB).
Atoms (fractional coordinates):
Ca 0.642 0.642 0.000  0.00
Nd 0.359 0.359 0.000  0.01
Co 0.005 0.005 0.000  2.03
O 0.830 0.830 0.000  -0.04
O 0.171 0.171 0.000  -0.04
O 0.996 0.496 0.500  0.02
O 0.496 0.996 0.500  0.02

***

## two
# CaNdCoO4

A relaxed structure of CaNdCoO4 (PBE with a Hubbard U, Alexandria via LeMat-Bulk).

## Properties
V = 173.8 Å³/cell
space-group type = Cmcm

Lattice parameters (Å, degrees): 6.691 6.691 5.326 90.00 90.00 133.20
Each line ends with the local moment (μB).
Atoms (fractional coordinates):
Ca 0.605 0.395 0.250  0.00
Ca 0.395 0.605 0.750  0.00
Nd 0.111 0.889 0.750  0.01
Nd 0.889 0.111 0.250  0.01
Co 0.251 0.749 0.250  2.03
Co 0.749 0.251 0.750  2.03
O 0.000 0.500 0.500  0.00
O 0.500 0.000 0.000  0.00
O 0.500 0.000 0.500  0.00
O 0.000 0.500 0.000  0.00
O 0.923 0.077 0.750  -0.02
O 0.419 0.581 0.250  -0.04
O 0.077 0.923 0.250  -0.02
O 0.581 0.419 0.750  -0.04

***

Relative energies in meV per atom: one 0; two 5